! BaH2W (meta-GGA SCAN, PBEsol geometry); values from VASP
! Theoretical density = 9.3 g/cm³
! Total DFT energy (no corrections) = -28.448 eV/atom
! DOS(E_F) = 5.4 states/eV per cell
&SYSTEM
  ibrav = 0, nat = 8, ntyp = 3
/
ATOMIC_SPECIES
W 183.84 W.upf
Ba 137.33 Ba.upf
H 1.01 H.upf
ATOMIC_POSITIONS angstrom
W -1.306 -2.834 1.203
Ba 0.133 -4.931 4.169
H -2.544 -6.665 4.779
W 0.000 0.000 0.000
H -0.357 -1.245 1.329
Ba 1.439 -2.097 2.966
H -1.539 -3.393 2.957
H 2.095 -4.229 1.678
CELL_PARAMETERS angstrom
-4.050 -3.571 -0.560
4.896 -1.809 1.492
-2.019 -2.385 4.439


! Nd5S4 (meta-GGA SCAN, PBEsol geometry); values from VASP
! Theoretical density = 6.3 g/cm³
! Formation energy without anion corrections = -1732 kJ/mol of formula units
! Total DFT energy (no corrections) = -30.486 eV/atom
! DOS(E_F) = 5.2 states/eV per cell
&SYSTEM
  ibrav = 0, nat = 9, ntyp = 2
/
ATOMIC_SPECIES
S 32.06 S.upf
Nd 144.24 Nd.upf
ATOMIC_POSITIONS angstrom
S 1.982 1.144 6.517
Nd 1.982 1.144 1.554
S 3.964 2.289 13.205
S 3.964 2.289 3.181
Nd 1.982 1.144 11.571
Nd 5.947 3.433 4.816
Nd 5.947 3.433 14.832
S 5.947 3.433 9.869
Nd 3.964 2.289 8.193
CELL_PARAMETERS angstrom
3.964 0.000 0.000
1.982 3.433 0.000
1.982 1.144 16.386


! SrAlZn2 (meta-GGA SCAN, PBEsol geometry); values from VASP
! Theoretical density = 4.7 g/cm³
! Total DFT energy (no corrections) = -14.189 eV/atom
! ΔE_f = 76 meV/atom
! DOS(E_F) = 2.3 states/eV per cell
&SYSTEM
  ibrav = 0, nat = 4, ntyp = 3
/
ATOMIC_SPECIES
Sr 87.62 Sr.upf
Zn 65.41 Zn.upf
Al 26.98 Al.upf
ATOMIC_POSITIONS angstrom
Sr -1.671 -0.048 1.146
Zn -0.948 -1.526 -1.446
Zn 0.897 -1.728 1.235
Al -1.721 -3.302 0.935
CELL_PARAMETERS angstrom
-3.342 -0.097 2.292
-1.896 -3.051 -2.892
1.795 -3.456 2.470


! PPdWCl2 (meta-GGA SCAN, PBEsol geometry); values from VASP
! Theoretical density = 6.5 g/cm³
! Formation energy without anion corrections = 558 kJ/mol of formula units
! Total DFT energy (no corrections) = -24.607 eV/atom
! DOS(E_F) = 4.3 states/eV per cell
&SYSTEM
  ibrav = 0, nat = 5, ntyp = 4
/
ATOMIC_SPECIES
Cl 35.45 Cl.upf
W 183.84 W.upf
P 30.97 P.upf
Pd 106.42 Pd.upf
ATOMIC_POSITIONS angstrom
Cl 0.000 2.268 0.000
W 2.268 2.268 2.450
P 0.000 0.000 2.450
Cl 2.268 0.000 0.000
Pd 0.000 0.000 0.000
CELL_PARAMETERS angstrom
4.535 0.000 0.000
0.000 4.535 0.000
0.000 0.000 4.900


! CsLi2S2 (meta-GGA SCAN, PBEsol geometry); values from VASP
! Theoretical density = 3.2 g/cm³
! Formation energy without anion corrections = -564 kJ/mol of formula units
! Total DFT energy (no corrections) = -13.539 eV/atom
! DOS(E_F) = 1.4 states/eV per cell
&SYSTEM
  ibrav = 0, nat = 5, ntyp = 3
/
ATOMIC_SPECIES
Li 6.94 Li.upf
Cs 132.91 Cs.upf
S 32.06 S.upf
ATOMIC_POSITIONS angstrom
Li -3.529 0.632 -0.664
Cs 0.000 0.000 0.000
S -3.053 2.642 0.648
Li -2.722 0.844 2.274
S -3.198 -1.167 0.963
CELL_PARAMETERS angstrom
-2.672 -2.533 -2.258
-1.058 -2.109 3.618
-2.522 6.118 0.251


! MnCu5 (meta-GGA SCAN, PBEsol geometry); values from VASP
! Theoretical density = 8.9 g/cm³
! Total DFT energy (no corrections) = -15.712 eV/atom
! ΔE_f = -3 meV/atom
! DOS(E_F) = 2.1 states/eV per cell
&SYSTEM
  ibrav = 0, nat = 6, ntyp = 2
/
ATOMIC_SPECIES
Mn 54.94 Mn.upf
Cu 63.55 Cu.upf
ATOMIC_POSITIONS angstrom
Mn -4.432 -3.535 -0.072
Cu -0.004 -0.001 0.001
Cu -4.133 -1.139 0.763
Cu -0.295 -2.395 -0.836
Cu -2.165 -2.735 0.782
Cu -2.250 -0.796 -0.857
CELL_PARAMETERS angstrom
-0.336 -0.444 -2.483
1.189 -3.949 0.545
-6.071 -1.498 2.394


! Li2AlCd (meta-GGA SCAN, PBEsol geometry); values from VASP
! Theoretical density = 3.7 g/cm³
! Total DFT energy (no corrections) = -10.902 eV/atom
! ΔE_f = -166 meV/atom
! DOS(E_F) = 1.3 states/eV per cell
&SYSTEM
  ibrav = 0, nat = 4, ntyp = 3
/
ATOMIC_SPECIES
Li 6.94 Li.upf
Al 26.98 Al.upf
Cd 112.41 Cd.upf
ATOMIC_POSITIONS angstrom
Li -0.100 0.000 1.373
Al 1.436 2.079 0.002
Li 2.529 0.000 4.325
Cd 1.214 2.079 2.849
CELL_PARAMETERS angstrom
2.873 0.000 0.004
0.000 4.158 0.000
-0.444 0.000 5.694


! TlFeSb4 (meta-GGA SCAN, PBEsol geometry); values from VASP
! Theoretical density = 7.6 g/cm³
! Formation energy without anion corrections = 370 kJ/mol of formula units
! Total DFT energy (no corrections) = -39.283 eV/atom
! DOS(E_F) = 6.7 states/eV per cell
&SYSTEM
  ibrav = 0, nat = 6, ntyp = 3
/
ATOMIC_SPECIES
Fe 55.84 Fe.upf
Sb 121.76 Sb.upf
Tl 204.38 Tl.upf
ATOMIC_POSITIONS angstrom
Fe 0.000 0.000 0.000
Sb 6.145 3.548 4.393
Tl 9.217 5.322 3.763
Sb 6.145 5.325 1.880
Sb 7.684 2.659 1.880
Sb 4.606 2.659 1.880
CELL_PARAMETERS angstrom
6.145 0.000 0.000
3.072 5.322 0.000
3.072 1.774 5.017


! LiCa2Y (meta-GGA SCAN, PBEsol geometry); values from VASP
! Theoretical density = 2.2 g/cm³
! Total DFT energy (no corrections) = -12.283 eV/atom
! ΔE_f = 107 meV/atom
! DOS(E_F) = 3.3 states/eV per cell
&SYSTEM
  ibrav = 0, nat = 4, ntyp = 3
/
ATOMIC_SPECIES
Ca 40.08 Ca.upf
Y 88.91 Y.upf
Li 6.94 Li.upf
ATOMIC_POSITIONS angstrom
Ca -1.651 -0.838 0.331
Y -4.841 0.295 -0.731
Li -1.340 2.073 -1.433
Ca -5.352 -2.718 1.074
CELL_PARAMETERS angstrom
-1.614 3.567 0.983
-1.066 0.578 -3.850
-7.003 -3.556 1.405


! Re2HgSe (meta-GGA SCAN, PBEsol geometry); values from VASP
! Theoretical density = 16.2 g/cm³
! Formation energy without anion corrections = 444 kJ/mol of formula units
! Total DFT energy (no corrections) = -56.459 eV/atom
! DOS(E_F) = 3.5 states/eV per cell
&SYSTEM
  ibrav = 0, nat = 4, ntyp = 3
/
ATOMIC_SPECIES
Hg 200.59 Hg.upf
Re 186.21 Re.upf
Se 78.96 Se.upf
ATOMIC_POSITIONS angstrom
Hg 1.952 -2.948 -0.399
Re 3.243 -2.079 2.148
Se -1.061 -2.318 0.294
Re 0.947 -0.927 1.288
CELL_PARAMETERS angstrom
-0.918 -0.874 2.411
-1.205 -3.763 -1.823
5.108 -2.132 1.025


! ScCoC2 (meta-GGA SCAN, PBEsol geometry); values from VASP
! Theoretical density = 5.4 g/cm³
! Total DFT energy (no corrections) = -13.272 eV/atom
! ΔE_f = -337 meV/atom
! DOS(E_F) = 1.1 states/eV per cell
&SYSTEM
  ibrav = 0, nat = 8, ntyp = 3
/
ATOMIC_SPECIES
C 12.01 C.upf
Co 58.93 Co.upf
Sc 44.96 Sc.upf
ATOMIC_POSITIONS angstrom
C -1.013 2.062 1.900
Co 0.000 0.000 0.000
Co -1.541 1.485 -0.977
Sc -1.891 2.443 3.864
C -0.444 1.816 0.628
C -3.388 0.661 3.516
Sc -2.509 0.280 1.551
C -3.957 0.907 4.788
CELL_PARAMETERS angstrom
-0.036 3.263 -0.648
-3.046 -0.293 -1.306
-2.859 1.238 6.393


! CoSn3Pd (meta-GGA SCAN, PBEsol geometry); values from VASP
! Theoretical density = 8.0 g/cm³
! Total DFT energy (no corrections) = -31.287 eV/atom
! ΔE_f = 281 meV/atom
! DOS(E_F) = 2.2 states/eV per cell
&SYSTEM
  ibrav = 0, nat = 5, ntyp = 3
/
ATOMIC_SPECIES
Co 58.93 Co.upf
Pd 106.42 Pd.upf
Sn 118.71 Sn.upf
ATOMIC_POSITIONS angstrom
Co 0.000 0.000 0.000
Pd 2.378 2.378 2.378
Sn 2.378 0.000 0.000
Sn 0.000 0.000 2.378
Sn 0.000 2.378 0.000
CELL_PARAMETERS angstrom
4.756 0.000 0.000
0.000 4.756 0.000
0.000 0.000 4.756


! SiAs2Ru (meta-GGA SCAN, PBEsol geometry); values from VASP
! Theoretical density = 7.2 g/cm³
! Formation energy without anion corrections = 170 kJ/mol of formula units
! Total DFT energy (no corrections) = -20.867 eV/atom
! DOS(E_F) = 2.7 states/eV per cell
&SYSTEM
  ibrav = 0, nat = 4, ntyp = 3
/
ATOMIC_SPECIES
As 74.92 As.upf
Si 28.09 Si.upf
Ru 101.07 Ru.upf
ATOMIC_POSITIONS angstrom
As 0.000 0.000 6.601
Si 0.737 1.245 0.000
Ru 0.737 1.245 4.556
As 0.000 0.000 2.511
CELL_PARAMETERS angstrom
2.831 0.007 0.000
-1.357 2.484 0.000
0.000 0.000 9.112


! TaIr2 (meta-GGA SCAN, PBEsol geometry); values from VASP
! Theoretical density = 17.6 g/cm³
! Total DFT energy (no corrections) = -69.954 eV/atom
! ΔE_f = -360 meV/atom
! DOS(E_F) = 1.5 states/eV per cell
&SYSTEM
  ibrav = 0, nat = 3, ntyp = 2
/
ATOMIC_SPECIES
Ta 180.95 Ta.upf
Ir 192.22 Ir.upf
ATOMIC_POSITIONS angstrom
Ta 0.000 0.000 0.000
Ir 0.730 -1.928 1.560
Ir 2.189 -5.785 4.679
CELL_PARAMETERS angstrom
-0.733 -4.009 1.099
3.211 -2.504 1.116
0.441 -1.200 4.023


! Sc5Cu5O13 (meta-GGA SCAN, PBEsol geometry); values from VASP
! Theoretical density = 4.8 g/cm³
! Formation energy without anion corrections = -5357 kJ/mol of formula units
! Total DFT energy (no corrections) = -12.335 eV/atom
! DOS(E_F) = 0.5 states/eV per cell
&SYSTEM
  ibrav = 0, nat = 23, ntyp = 3
/
ATOMIC_SPECIES
Cu 63.55 Cu.upf
Sc 44.96 Sc.upf
O 16.00 O.upf
ATOMIC_POSITIONS angstrom
Cu 5.717 0.980 3.232
Cu 6.632 5.815 0.097
Sc 7.663 4.836 5.425
Sc 4.761 2.909 0.882
Sc 1.911 3.677 2.320
O 4.796 0.764 1.648
O 8.482 4.065 7.186
Cu 6.631 7.687 6.250
Cu 2.900 1.517 4.778
O 6.670 5.038 3.560
O 7.608 6.997 4.828
Cu 3.909 6.222 1.333
O 0.863 4.006 0.494
O 2.899 3.266 4.204
O 5.828 3.618 5.664
O 4.003 5.580 5.236
O 4.729 2.537 7.650
O 5.794 2.738 2.762
Sc 4.752 4.804 7.083
O 2.752 2.199 1.152
O 3.838 4.505 2.024
O 6.599 5.941 6.903
Sc 4.772 4.147 3.919
CELL_PARAMETERS angstrom
5.736 -0.025 0.021
0.924 5.845 0.005
2.881 2.360 7.823


! Ta7Cu3O19 (meta-GGA SCAN, PBEsol geometry); values from VASP
! Theoretical density = 8.6 g/cm³
! Formation energy without anion corrections = -7349 kJ/mol of formula units
! Total DFT energy (no corrections) = -24.353 eV/atom
&SYSTEM
  ibrav = 0, nat = 58, ntyp = 3
/
ATOMIC_SPECIES
O 16.00 O.upf
Ta 180.95 Ta.upf
Cu 63.55 Cu.upf
ATOMIC_POSITIONS angstrom
O 2.408 3.888 8.984
O 0.000 0.000 16.962
Ta 1.118 5.204 17.082
Ta 1.988 0.174 6.956
O 0.697 1.491 19.111
Ta 2.262 3.570 3.170
O 0.778 2.244 6.995
O 0.000 3.586 17.505
O 3.105 1.793 2.747
Ta 5.066 1.634 3.170
O 1.639 0.142 1.142
Cu -1.553 2.689 0.000
Cu 3.105 0.000 10.126
O 2.327 3.135 13.258
O 3.105 1.793 7.379
O 0.000 0.000 6.836
O 5.268 1.349 8.984
O 1.466 5.236 11.268
O 0.773 4.931 3.131
O -1.551 3.582 6.995
O 2.332 0.448 13.258
O 4.657 1.796 13.258
Cu -1.553 2.689 10.126
O 2.408 3.888 1.142
O 1.639 0.142 8.984
Ta 1.988 0.174 3.170
Cu 1.553 2.689 0.000
Cu 3.105 0.000 0.000
O 0.697 1.491 11.268
O 4.839 1.545 5.063
O 5.268 1.349 1.142
O 2.453 3.418 5.063
O 2.332 0.448 17.121
O 1.466 5.236 19.111
O 2.327 3.135 17.121
O 0.000 0.000 3.290
Ta 0.000 0.000 10.126
Ta 0.843 1.808 17.082
O 0.000 0.000 13.416
Ta -1.961 3.744 17.082
O -2.163 4.030 19.111
Ta 0.843 1.808 13.297
Ta 5.066 1.634 6.956
O 2.024 0.415 5.063
Ta 0.000 0.000 0.000
O -2.163 4.030 11.268
O -1.734 3.833 15.189
Ta -1.961 3.744 13.297
O 0.652 1.960 15.189
O -1.551 3.582 3.131
Cu 1.553 2.689 10.126
Ta 1.118 5.204 13.297
Ta 2.262 3.570 6.956
O 1.081 4.963 15.189
O 0.000 3.586 12.873
O 0.773 4.931 6.995
O 0.778 2.244 3.131
O 4.657 1.796 17.121
CELL_PARAMETERS angstrom
6.210 0.000 0.000
-3.105 5.378 0.000
0.000 0.000 20.252


! Li2HgP (meta-GGA SCAN, PBEsol geometry); values from VASP
! Theoretical density = 6.0 g/cm³
! Total DFT energy (no corrections) = -21.159 eV/atom
! ΔE_f = -323 meV/atom
! DOS(E_F) = 1.2 states/eV per cell
&SYSTEM
  ibrav = 0, nat = 4, ntyp = 3
/
ATOMIC_SPECIES
Li 6.94 Li.upf
P 30.97 P.upf
Hg 200.59 Hg.upf
ATOMIC_POSITIONS angstrom
Li 1.377 1.239 5.138
Li 0.000 1.696 1.195
P 1.377 0.000 0.000
Hg 0.000 -0.484 3.164
CELL_PARAMETERS angstrom
2.754 0.000 0.000
-1.377 3.902 0.006
0.000 -0.967 6.327


! ZrCo2Te (meta-GGA SCAN, PBEsol geometry); values from VASP
! Theoretical density = 8.8 g/cm³
! Formation energy without anion corrections = 46 kJ/mol of formula units
! Total DFT energy (no corrections) = -25.520 eV/atom
! DOS(E_F) = 2.9 states/eV per cell
&SYSTEM
  ibrav = 0, nat = 4, ntyp = 3
/
ATOMIC_SPECIES
Co 58.93 Co.upf
Zr 91.22 Zr.upf
Te 127.60 Te.upf
ATOMIC_POSITIONS angstrom
Co -2.794 3.239 2.990
Zr -2.837 0.786 3.922
Te -1.260 1.461 1.349
Co -1.343 -0.947 2.323
CELL_PARAMETERS angstrom
-2.544 -2.328 0.145
1.424 -1.380 2.826
-2.846 3.299 3.045


! SnPF3 (meta-GGA SCAN, PBEsol geometry); values from VASP
! Theoretical density = 4.4 g/cm³
! Formation energy without anion corrections = -390 kJ/mol of formula units
! Total DFT energy (no corrections) = -12.197 eV/atom
! DOS(E_F) = 3.1 states/eV per cell
&SYSTEM
  ibrav = 0, nat = 5, ntyp = 3
/
ATOMIC_SPECIES
F 19.00 F.upf
Sn 118.71 Sn.upf
P 30.97 P.upf
ATOMIC_POSITIONS angstrom
F 2.136 0.000 0.000
F 0.000 2.136 0.000
Sn 2.136 2.136 2.136
P 0.000 0.000 0.000
F 0.000 0.000 2.136
CELL_PARAMETERS angstrom
4.271 0.000 0.000
0.000 4.271 0.000
0.000 0.000 4.271


! LaBiS2 (meta-GGA SCAN, PBEsol geometry); values from VASP
! Theoretical density = 5.5 g/cm³
! Formation energy without anion corrections = -517 kJ/mol of formula units
! Total DFT energy (no corrections) = -36.576 eV/atom
! DOS(E_F) = 1.0 states/eV per cell
&SYSTEM
  ibrav = 0, nat = 4, ntyp = 3
/
ATOMIC_SPECIES
Bi 208.98 Bi.upf
S 32.06 S.upf
La 138.91 La.upf
ATOMIC_POSITIONS angstrom
Bi 0.000 0.000 0.000
S -1.160 -6.094 1.054
S -1.943 -5.810 -4.536
La -1.551 -5.952 -1.741
CELL_PARAMETERS angstrom
-2.813 -1.312 -2.686
1.156 -2.171 -3.286
-1.446 -8.420 2.491